This record from OQMD via LeMat-Bulk describes an optimized crystal structure of Zr4CdAs2Pb. The functional is PBE.

CIF file:
```
data_Zr4CdAs2Pb
_cell_length_a 3.7266
_cell_length_b 3.7266
_cell_length_c 15.2060
_cell_angle_alpha 90.00
_cell_angle_beta 90.00
_cell_angle_gamma 120.00
_symmetry_space_group_name_H-M 'P -6 m 2'
_symmetry_Int_Tables_number 187
_symmetry_space_group_name_Hall 'P -6 2'
loop_
_atom_site_label
_atom_site_fract_x
_atom_site_fract_y
_atom_site_fract_z
_atom_site_occupancy
Zr1 0.0000 0.0000 0.1468 1
Zr2 0.3333 0.6667 0.3493 1
Cd1 0.3333 0.6667 0.0000 1
As1 0.6667 0.3333 0.2473 1
Pb1 0.0000 0.0000 0.5000 1
```

Calculated values
Total energy: -6.598 eV per atom